(1)
A plane-wave DFT calculation with PBE was carried out for a relaxed Tl2CdGe crystal.

The structure belongs to space group Fm-3m (No. 225); the cell edges are 7.480, 7.480 and 7.480 Å and the angles 90.00°, 90.00° and 90.00°. Symmetry generates all atoms from Tl at (0.250, 0.250, 0.250), Cd at (0.000, 0.000, 0.000) and Ge at (0.000, 0.000, 0.500).

The calculation puts the energy above the lowest structure with this stoichiometry at 22 meV per atom. The total magnetization comes out at 0.0 Bohr magnetons per cell. The value obtained for the density of states at the Fermi level is 5.8 states/eV per cell.

(2)
A plane-wave DFT calculation with PBE was carried out for a relaxed Tl2CdGe crystal.

The structure belongs to space group R-3m (No. 166, hexagonal axes); the cell edges are 3.2097, 3.2097 and 35.6087 Å and the angles 90.00°, 90.00° and 120.00°. Symmetry generates all atoms from Tl at (0.0000, 0.0000, 0.0840), Cd at (0.0000, 0.0000, 0.5000) and Ge at (0.0000, 0.0000, 0.0000).

The calculation puts the energy above the lowest structure with this stoichiometry at 50 meV per atom. The total magnetization comes out at 0.0 Bohr magnetons per cell. The value obtained for the density of states at the Fermi level is 5.3 states/eV per cell.

(3)
A plane-wave DFT calculation with PBE was carried out for a relaxed Tl2CdGe crystal.

The structure belongs to space group P4/mmm (No. 123); the cell edges are 3.635, 3.635 and 7.954 Å and the angles 90.00°, 90.00° and 90.00°. Symmetry generates all atoms from Tl at (0.000, 0.000, 0.243), Cd at (0.500, 0.500, 0.500) and Ge at (0.500, 0.500, 0.000).

The calculation puts the energy above the lowest structure with this stoichiometry at 17 meV per atom. The total magnetization comes out at 0.0 Bohr magnetons per cell. The value obtained for the density of states at the Fermi level is 2.6 states/eV per cell.

(4)
A plane-wave DFT calculation with PBE was carried out for a relaxed Tl2CdGe crystal.

The structure belongs to space group P4/mmm (No. 123); the cell edges are 5.505, 5.505 and 3.448 Å and the angles 90.00°, 90.00° and 90.00°. Symmetry generates all atoms from Tl at (0.000, 0.500, 0.000), Cd at (0.000, 0.000, 0.500) and Ge at (0.500, 0.500, 0.500).

The calculation puts the energy above the lowest structure with this stoichiometry at 0 meV per atom. The total magnetization comes out at 0.0 Bohr magnetons per cell. The value obtained for the density of states at the Fermi level is 1.8 states/eV per cell.

(5)
A plane-wave DFT calculation with PBE was carried out for a relaxed Tl2Cd2Ge crystal.

The structure belongs to space group P4/mbm (No. 127); the cell edges are 7.244, 7.244 and 5.166 Å and the angles 90.00°, 90.00° and 90.00°. Symmetry generates all atoms from Tl at (0.173, 0.327, 0.000), Cd at (0.142, 0.642, 0.500) and Ge at (0.000, 0.000, 0.500).

The calculation puts the energy above the lowest structure with this stoichiometry at 0 meV per atom. The total magnetization comes out at 0.0 Bohr magnetons per cell. The value obtained for the density of states at the Fermi level is 4.1 states/eV per cell.

(6)
A plane-wave DFT calculation with PBE was carried out for a relaxed TlCd2GeW crystal.

The structure belongs to space group P4/mmm (No. 123); the cell edges are 5.299, 5.299 and 5.371 Å and the angles 90.00°, 90.00° and 90.00°. Symmetry generates all atoms from Tl at (0.000, 0.000, 0.000), Cd at (0.000, 0.500, 0.000), Ge at (0.500, 0.500, 0.500) and W at (0.000, 0.000, 0.500).

The value obtained for the total energy is -2.692 eV/atom. The total magnetization comes out at 2.9 Bohr magnetons per cell. The value obtained for the density of states at the Fermi level is 4.3 states/eV per cell.

(7)
A plane-wave DFT calculation with PBE was carried out for a relaxed YTl2CdGe crystal.

The structure belongs to space group P4/mmm (No. 123); the cell edges are 5.344, 5.344 and 5.848 Å and the angles 90.00°, 90.00° and 90.00°. Symmetry generates all atoms from Y at (0.000, 0.000, 0.000), Tl at (0.000, 0.500, 0.500), Cd at (0.000, 0.000, 0.500) and Ge at (0.500, 0.500, 0.000).

The value obtained for the total energy is -2.805 eV/atom. The total magnetization comes out at 0.0 Bohr magnetons per cell. The value obtained for the density of states at the Fermi level is 3.1 states/eV per cell.

(8)
A plane-wave DFT calculation with PBE was carried out for a relaxed TmCd2Ge crystal.

The structure belongs to space group P4/mmm (No. 123); the cell edges are 4.226, 4.226 and 4.894 Å and the angles 90.00°, 90.00° and 90.00°. Symmetry generates all atoms from Tm at (0.000, 0.000, 0.000), Cd at (0.000, 0.500, 0.500) and Ge at (0.500, 0.500, 0.000).

The calculation puts the energy above the lowest structure with this stoichiometry at 0 meV per atom. The total magnetization comes out at 0.0 Bohr magnetons per cell. The value obtained for the density of states at the Fermi level is 1.5 states/eV per cell.

(9)
A plane-wave DFT calculation with PBE was carried out for a relaxed TmCdGe2 crystal.

The structure belongs to space group R-3m (No. 166, hexagonal axes); the cell edges are 4.5724, 4.5724 and 14.5182 Å and the angles 90.00°, 90.00° and 120.00°. Symmetry generates all atoms from Tm at (0.0000, 0.0000, 0.0000), Cd at (0.0000, 0.0000, 0.5000) and Ge at (0.0000, 0.0000, 0.2463).

The calculation puts the energy above the lowest structure with this stoichiometry at 189 meV per atom. The total magnetization comes out at 0.0 Bohr magnetons per cell. The value obtained for the density of states at the Fermi level is 5.2 states/eV per cell.

(10)
A plane-wave DFT calculation with PBE was carried out for a relaxed TmCdGe crystal.

The structure belongs to space group P3m1 (No. 156); the cell edges are 4.7245, 4.7245 and 3.3771 Å and the angles 90.00°, 90.00° and 120.00°. Symmetry generates all atoms from Tm at (0.0000, 0.0000, 0.0000), Cd at (0.3333, 0.6667, 0.5008) and Ge at (0.6667, 0.3333, 0.4981).

The value obtained for the total energy is -3.692 eV/atom. The total magnetization comes out at 0.0 Bohr magnetons per cell. The value obtained for the density of states at the Fermi level is 1.4 states/eV per cell.

(11)
A plane-wave DFT calculation with PBE was carried out for a relaxed Tm2CdGe2 crystal.

The structure belongs to space group P4/mbm (No. 127); the cell edges are 7.250, 7.250 and 4.135 Å and the angles 90.00°, 90.00° and 90.00°. Symmetry generates all atoms from Tm at (0.178, 0.322, 0.000), Cd at (0.000, 0.000, 0.500) and Ge at (0.123, 0.623, 0.500).

The value obtained for the total energy is -4.505 eV/atom. The total magnetization comes out at 0.0 Bohr magnetons per cell. The value obtained for the density of states at the Fermi level is 1.8 states/eV per cell.

(12)
A plane-wave DFT calculation with PBE was carried out for a relaxed TmCdGe2 crystal.

The structure belongs to space group P4/mmm (No. 123); the cell edges are 4.499, 4.499 and 4.068 Å and the angles 90.00°, 90.00° and 90.00°. Symmetry generates all atoms from Tm at (0.000, 0.000, 0.000), Cd at (0.500, 0.500, 0.000) and Ge at (0.000, 0.500, 0.500).

The calculation puts the energy above the lowest structure with this stoichiometry at 0 meV per atom. The total magnetization comes out at 0.0 Bohr magnetons per cell. The value obtained for the density of states at the Fermi level is 1.7 states/eV per cell.